*1*
Computed, not measured: an optimized crystal structure of HfZrGa at the PBE level of DFT.

The space group is P-6m2 (No. 187) and the conventional cell measures 4.8686, 4.8686 and 2.9353 Å, with angles of 90.00, 90.00 and 120.00 degrees. The inequivalent atoms are Hf at (0.0000, 0.0000, 0.0000), Zr at (0.3333, 0.6667, 0.0000) and Ga at (0.6667, 0.3333, 0.5000).


*2*
Computed, not measured: an optimized crystal structure of HfZrGa at the PBE level of DFT.

The space group is I4mm (No. 107) and the conventional cell measures 3.388, 3.388 and 10.686 Å, with angles of 90.00, 90.00 and 90.00 degrees. The inequivalent atoms are Hf at (0.000, 0.000, 0.000), Zr at (0.000, 0.000, 0.316) and Ga at (0.000, 0.000, 0.655).


*3*
Computed, not measured: an optimized crystal structure of HfZrGa at the PBE level of DFT.

The space group is P4/nmm (No. 129, origin choice 2) and the conventional cell measures 4.300, 4.300 and 6.893 Å, with angles of 90.00, 90.00 and 90.00 degrees. The inequivalent atoms are Hf at (0.250, 0.250, 0.228), Zr at (0.250, 0.250, 0.781) and Ga at (0.250, 0.750, 0.500).


Energies relative to the minimum, meV/atom: *1* 380; *2* 0; *3* 276